{"formula": "BaNa2CrF8", "functional": "PBE with a Hubbard U", "state": "relaxed", "cell": [[4.6232, 0.0000, 0.0000], [0.0912, 5.4859, 0.0000], [0.0264, 0.0385, 7.5310]], "species": ["Ba", "Na", "Na", "Cr", "F", "F", "F", "F", "F", "F", "F", "F"], "frac_coords": [[0.0000, 0.0000, 0.0000], [0.4978, 0.4980, 0.2503], [0.5022, 0.5020, 0.7497], [0.0000, 0.0000, 0.5000], [0.1621, 0.8035, 0.6813], [0.1645, 0.8049, 0.3200], [0.3013, 0.2137, 0.4996], [0.4551, 0.2606, 0.9996], [0.5449, 0.7394, 0.0004], [0.6987, 0.7863, 0.5004], [0.8355, 0.1951, 0.6800], [0.8379, 0.1965, 0.3187]], "space_group": "No. 2", "e_tot_ev_per_atom": -5.1217, "density_g_cm3": 3.4}